1.
## Ho2Th5Sc12 (PBE)

Data for crystalline Ho2Th5Sc12 at its relaxed geometry. Values from VASP.

Properties
* energy of formation from the pure elements: 417 meV/atom
* calculated total energy: -6.02 eV/atom
* space group: No. 12
* E above lowest polymorph: 264 meV/atom

Geometry as Quantum ESPRESSO input:
```
&SYSTEM
  ibrav = 0, nat = 19, ntyp = 3
/
ATOMIC_SPECIES
Sc 44.96 Sc.upf
Th 232.04 Th.upf
Ho 164.93 Ho.upf
CELL_PARAMETERS angstrom
-3.9401 2.4535 4.3348
-4.6545 0.0746 -8.9253
-0.6307 -9.1166 4.5868
ATOMIC_POSITIONS crystal
Sc 0.4389 0.3991 0.0814
Sc 0.5507 0.6072 0.4070
Th 0.6142 0.2283 0.7896
Sc 0.5487 0.0973 0.4288
Sc 0.5611 0.6009 0.9186
Sc 0.9435 0.3928 0.5930
Sc 0.1300 0.2601 0.2979
Th 0.6436 0.2873 0.2790
Sc 0.8700 0.7399 0.7021
Th 0.3564 0.7127 0.7210
Sc 0.0398 0.6009 0.9186
Sc 0.4493 0.3928 0.5930
Th 0.0000 0.0000 0.5000
Sc 0.0565 0.6072 0.4070
Sc 0.4513 0.9027 0.5712
Ho 0.2506 0.0000 0.0000
Th 0.3858 0.7717 0.2104
Ho 0.7494 0.0000 0.0000
Sc 0.9602 0.3991 0.0814
```

=====

2.
## Pm3ThNi3 (PBE)

Data for crystalline Pm3ThNi3 at its relaxed geometry. Values from VASP.

Properties
* energy of formation from the pure elements: -225 meV/atom
* calculated total energy: -5.80 eV/atom
* space group: No. 12

Geometry as Quantum ESPRESSO input:
```
&SYSTEM
  ibrav = 0, nat = 14, ntyp = 3
/
ATOMIC_SPECIES
Ni 58.69 Ni.upf
Pm 145.00 Pm.upf
Th 232.04 Th.upf
CELL_PARAMETERS angstrom
6.7802 1.4450 0.4662
-1.7270 6.7139 0.4662
-0.2779 -0.4486 6.8778
ATOMIC_POSITIONS crystal
Ni 0.9663 0.5014 0.7000
Pm 0.6695 0.6695 0.3812
Pm 0.3305 0.3305 0.6188
Ni 0.9360 0.9360 0.1792
Th 0.2378 0.2378 0.1259
Ni 0.4986 0.0337 0.3000
Th 0.7622 0.7622 0.8741
Ni 0.5014 0.9663 0.7000
Ni 0.0640 0.0640 0.8208
Pm 0.2635 0.7365 0.0000
Pm 0.8228 0.1772 0.5000
Ni 0.0337 0.4986 0.3000
Pm 0.7365 0.2635 0.0000
Pm 0.1772 0.8228 0.5000
```

=====

3.
## Sn3PH (PBE)

Data for crystalline Sn3PH at its relaxed geometry. Values from VASP.

Properties
* calculated total energy: -3.70 eV/atom
* space group: No. 221

Geometry as Quantum ESPRESSO input:
```
&SYSTEM
  ibrav = 0, nat = 5, ntyp = 3
/
ATOMIC_SPECIES
P 30.97 P.upf
H 1.01 H.upf
Sn 118.71 Sn.upf
CELL_PARAMETERS angstrom
-0.8903 -0.0004 -4.5979
-4.3480 -1.5230 0.8421
-1.4953 4.4288 0.2892
ATOMIC_POSITIONS crystal
P 0.5000 0.5000 0.5000
H 0.0000 0.0000 0.0000
Sn 0.0000 0.5000 0.0000
Sn 0.0000 0.0000 0.5000
Sn 0.5000 0.0000 0.0000
```

=====

4.
## Mg2TlInH (PBE)

Data for crystalline Mg2TlInH at its relaxed geometry. Values from VASP.

Properties
* calculated total energy: -2.24 eV/atom
* space group: No. 123
* E above lowest polymorph: 8 meV/atom

Geometry as Quantum ESPRESSO input:
```
&SYSTEM
  ibrav = 0, nat = 5, ntyp = 4
/
ATOMIC_SPECIES
H 1.01 H.upf
Mg 24.30 Mg.upf
Tl 204.38 Tl.upf
In 114.82 In.upf
CELL_PARAMETERS angstrom
-0.9340 4.0428 1.8515
-4.4434 -0.9207 -0.2310
0.1829 -2.0031 4.4662
ATOMIC_POSITIONS crystal
H 0.0000 0.0000 0.0000
Mg 0.5000 0.0000 0.0000
Mg 0.0000 0.5000 0.0000
Tl 0.0000 0.0000 0.5000
In 0.5000 0.5000 0.5000
```